Compound: CaAc2As3Pd4
Source: Alexandria
Functional: PBE
Structure: optimized geometry

The density of states at the Fermi level comes out at 0.506 states/eV per atom. Its formation enthalpy at 0 K is -0.93 eV per atom.

Lattice parameters (Å, degrees): 4.3967 4.3967 11.4406 90.00 90.00 90.00
Closest atoms and distances in Å follow each position.
Element x y z (fractional)
1 Ca 0.5000 0.5000 0.5000  4 Pd 2.83, 4 As 3.11
2 Ac 0.5000 0.0000 0.2193  4 As 3.29, 8 Pd 3.34-3.42
3 Ac 0.0000 0.5000 0.7807  4 As 3.29, 8 Pd 3.34-3.42
4 As 0.0000 0.0000 0.5000  4 Pd 2.83, 4 Ca 3.11
5 As 0.5000 0.0000 0.8744  5 Pd 2.50-2.63
6 As 0.0000 0.5000 0.1256  5 Pd 2.50-2.63
7 Pd 0.5000 0.5000 0.0000  4 As 2.63
8 Pd 0.0000 0.0000 0.0000  4 As 2.63
9 Pd 0.5000 0.0000 0.6556  1 As 2.50
10 Pd 0.0000 0.5000 0.3444  1 As 2.50



Compound: La2Tm3Au4
Source: Alexandria
Functional: PBE
Structure: optimized geometry

The density of states at the Fermi level comes out at 1.025 states/eV per atom. Its formation enthalpy at 0 K is -0.78 eV per atom.

Lattice parameters (Å, degrees): 8.4838 7.7787 7.6389 90.00 90.00 111.02
Closest atoms and distances in Å follow each position.
Element x y z (fractional)
1 La 0.5886 0.1919 0.3300  5 Au 3.17-3.35
2 La 0.9114 0.8081 0.8300  5 Au 3.17-3.35
3 La 0.4114 0.8081 0.6700  5 Au 3.17-3.35
4 La 0.0886 0.1919 0.1700  5 Au 3.17-3.35
5 Tm 0.0000 0.5000 0.5000  4 Au 2.94-2.99
6 Tm 0.5000 0.5000 0.0000  4 Au 2.94-2.99
7 Tm 0.7507 0.2470 0.8493  6 Au 2.93-3.05
8 Tm 0.7493 0.7530 0.3493  6 Au 2.93-3.05
9 Tm 0.2493 0.7530 0.1507  6 Au 2.93-3.05
10 Tm 0.2507 0.2470 0.6507  6 Au 2.93-3.05
11 Au 0.8784 0.0981 0.5505  4 Tm 2.94-3.05, 1 Au 3.07, 2 La 3.19-3.27
12 Au 0.6216 0.9019 0.0505  4 Tm 2.94-3.05, 1 Au 3.07, 2 La 3.19-3.27
13 Au 0.1216 0.9019 0.4495  4 Tm 2.94-3.05, 1 Au 3.07, 2 La 3.19-3.27
14 Au 0.3784 0.0981 0.9495  4 Tm 2.94-3.05, 1 Au 3.07, 2 La 3.19-3.27
15 Au 0.8751 0.5156 0.1361  4 Tm 2.93-3.05, 1 Au 3.04, 2 La 3.17-3.20
16 Au 0.6249 0.4844 0.6361  4 Tm 2.93-3.05, 1 Au 3.04, 2 La 3.17-3.20
17 Au 0.1249 0.4844 0.8639  4 Tm 2.93-3.05, 1 Au 3.04, 2 La 3.17-3.20
18 Au 0.3751 0.5156 0.3639  4 Tm 2.93-3.05, 1 Au 3.04, 2 La 3.17-3.20



Compound: Sr3PtO
Source: Alexandria
Functional: PBE
Structure: optimized geometry

The formation energy without anion corrections comes out at -1.279 eV per atom. The calculation puts the polymorph energy (0 for the lowest one) at 0.29 eV/f.u. The density of states at the Fermi level comes out at 0.519 states/eV per atom.

Lattice parameters (Å, degrees): 3.9052 8.4140 8.4205 72.88 90.00 90.00
Closest atoms and distances in Å follow each position.
Element x y z (fractional)
1 Sr 0.8634 0.3754 0.8079  2 O 2.62
2 Sr 0.8635 0.0130 0.6848  2 O 2.62
3 Sr 0.8630 0.6322 0.0655  2 O 2.62
4 Sr 0.3632 0.0264 0.0785  2 O 2.74, 2 Pt 3.00
5 Sr 0.8629 0.7562 0.4273  2 O 2.62
6 Sr 0.3632 0.3619 0.4144  2 O 2.74, 2 Pt 3.00
7 Pt 0.3632 0.6941 0.7464  8 Sr 3.23-3.24
8 Pt 0.8632 0.1939 0.2468  4 Sr 3.00
9 O 0.3632 0.6942 0.2463  6 Sr 2.62-2.74
10 O 0.3636 0.1942 0.7464  6 Sr 2.62-2.74



Compound: PmY2Bi
Source: Alexandria
Functional: PBE
Structure: optimized geometry

The calculation puts the polymorph energy (0 for the lowest one) at 0.00 eV/f.u. The density of states at the Fermi level comes out at 1.391 states/eV per atom. Its formation enthalpy at 0 K is -0.46 eV per atom.

Lattice parameters (Å, degrees): 4.6933 4.6492 11.8254 90.00 101.45 90.00
Closest atoms and distances in Å follow each position.
Element x y z (fractional)
1 Pm 0.6939 0.7500 0.3874  5 Bi 3.28-3.37
2 Pm 0.3061 0.2500 0.6126  5 Bi 3.28-3.37
3 Y 0.5603 0.2500 0.1206  8 Y 3.30-3.64, 2 Bi 3.37-3.38
4 Y 0.4397 0.7500 0.8794  8 Y 3.30-3.64, 2 Bi 3.37-3.38
5 Y 0.0593 0.7500 0.1188  8 Y 3.30-3.63, 2 Bi 3.37
6 Y 0.9407 0.2500 0.8812  8 Y 3.30-3.63, 2 Bi 3.37
7 Bi 0.1653 0.2500 0.3298  5 Pm 3.28-3.37, 4 Y 3.37-3.38
8 Bi 0.8347 0.7500 0.6702  5 Pm 3.28-3.37, 4 Y 3.37-3.38



Compound: Te2CI
Source: Alexandria
Functional: PBE
Structure: optimized geometry

The formation energy without anion corrections comes out at 1.164 eV per atom. The calculation puts the polymorph energy (0 for the lowest one) at 1.07 eV/f.u. The density of states at the Fermi level comes out at 0.576 states/eV per atom.

Lattice parameters (Å, degrees): 7.3805 7.3805 7.3805 32.52 32.52 32.52
Closest atoms and distances in Å follow each position.
Element x y z (fractional)
1 I 0.0000 0.0000 0.0000  6 Te 3.44
2 C 0.5000 0.5000 0.5000  6 Te 2.59
3 Te 0.7849 0.7849 0.7849  3 C 2.59
4 Te 0.2151 0.2151 0.2151  3 C 2.59



Compound: Ce2InGa3
Source: Alexandria
Functional: PBE
Structure: optimized geometry

The calculation puts the polymorph energy (0 for the lowest one) at 0.03 eV/f.u. The density of states at the Fermi level comes out at 1.609 states/eV per atom. Its formation enthalpy at 0 K is -0.48 eV per atom.

Lattice parameters (Å, degrees): 5.8993 5.8993 8.8546 104.42 104.42 104.62
Closest atoms and distances in Å follow each position.
Element x y z (fractional)
1 Ce 0.2500 0.7500 0.5000  4 In 3.24, 8 Ga 3.27, 2 Ce 3.61
2 Ce 0.7516 0.7516 0.0000  10 Ga 3.18-3.28, 2 In 3.25
3 Ce 0.7500 0.2500 0.5000  4 In 3.24, 8 Ga 3.27, 2 Ce 3.61
4 Ce 0.2484 0.2484 0.0000  10 Ga 3.18-3.28, 2 In 3.25
5 In 0.3335 0.3335 0.6670  3 Ga 2.76
6 In 0.6665 0.6665 0.3330  3 Ga 2.76
7 Ga 0.6750 0.1627 0.8376  2 Ga 2.63, 1 In 2.76
8 Ga 0.8373 0.3250 0.1624  2 Ga 2.63, 1 In 2.76
9 Ga 0.3250 0.8373 0.1624  2 Ga 2.63, 1 In 2.76
10 Ga 0.1627 0.6750 0.8376  2 Ga 2.63, 1 In 2.76
11 Ga 0.8374 0.8374 0.6748  2 Ga 2.63, 1 In 2.76
12 Ga 0.1626 0.1626 0.3252  2 Ga 2.63, 1 In 2.76



Compound: LiMgRh2
Source: Alexandria
Functional: PBE
Structure: optimized geometry

The density of states at the Fermi level comes out at 1.312 states/eV per atom. Its formation enthalpy at 0 K is -0.23 eV per atom.

Lattice parameters (Å, degrees): 2.8203 2.8203 8.5804 80.56 80.56 60.03
Closest atoms and distances in Å follow each position.
Element x y z (fractional)
1 Li 0.6667 0.6667 0.9998  6 Rh 2.66, 6 Li 2.82
2 Mg 0.5000 0.5000 0.5002  6 Rh 2.67, 6 Mg 2.82
3 Rh 0.0831 0.0831 0.7506  3 Li 2.66, 3 Mg 2.67, 6 Rh 2.82
4 Rh 0.2502 0.2502 0.2495  3 Li 2.66, 3 Mg 2.67, 6 Rh 2.82



Compound: FePb2Cl6
Source: Alexandria
Functional: PBE
Structure: optimized geometry

The formation energy without anion corrections comes out at -0.959 eV per atom. The calculation puts the polymorph energy (0 for the lowest one) at 0.00 eV/f.u. The density of states at the Fermi level comes out at 0.656 states/eV per atom.

Lattice parameters (Å, degrees): 6.4951 6.4951 12.5209 90.00 90.00 90.00
Closest atoms and distances in Å follow each position.
Element x y z (fractional)
1 Fe 0.0000 0.0000 0.0000  6 Cl 2.49-2.50
2 Fe 0.5000 0.5000 0.5000  6 Cl 2.49-2.50
3 Pb 0.0000 0.0000 0.3341  6 Cl 2.88-2.96
4 Pb 0.5000 0.5000 0.8341  6 Cl 2.88-2.96
5 Pb 0.5000 0.5000 0.1659  6 Cl 2.88-2.96
6 Pb 0.0000 0.0000 0.6659  6 Cl 2.88-2.96
7 Cl 0.3166 0.3166 0.3528  1 Fe 2.50
8 Cl 0.6834 0.6834 0.3528  1 Fe 2.50
9 Cl 0.1834 0.8166 0.8528  1 Fe 2.50
10 Cl 0.8166 0.1834 0.8528  1 Fe 2.50
11 Cl 0.1834 0.8166 0.1472  1 Fe 2.50
12 Cl 0.8166 0.1834 0.1472  1 Fe 2.50
13 Cl 0.3166 0.3166 0.6472  1 Fe 2.50
14 Cl 0.6834 0.6834 0.6472  1 Fe 2.50
15 Cl 0.2710 0.2710 0.0000  1 Fe 2.49
16 Cl 0.7290 0.7290 0.0000  1 Fe 2.49
17 Cl 0.2290 0.7710 0.5000  1 Fe 2.49
18 Cl 0.7710 0.2290 0.5000  1 Fe 2.49